First-principles (PBE) data for a relaxed Ta2NiI crystal, as listed in Alexandria via LeMat-Bulk.

V	24.78	Å³ per atom
DOS at the Fermi energy	8.31	states/eV/cell
energy above the most stable polymorph in this dataset	404	meV/atom
E_form (uncorrected)	1.09	eV per atom
electronic total energy	-106.72	eV for the cell shown

```
data_Ta2NiI
_symmetry_space_group_name_H-M 'I -4 2 d'
_symmetry_Int_Tables_number 122
_symmetry_space_group_name_Hall 'I -4 2bw'
_cell_length_a 5.6167
_cell_length_b 5.6167
_cell_length_c 12.5659
_cell_angle_alpha 90.00
_cell_angle_beta 90.00
_cell_angle_gamma 90.00
loop_
_atom_site_label
_atom_site_type_symbol
_atom_site_fract_x
_atom_site_fract_y
_atom_site_fract_z
Ta1 Ta 0.1693 0.2500 0.1250
Ni1 Ni 0.0000 0.0000 0.0000
I1 I 0.0000 0.0000 0.5000
```